(1)
Here is Ni2IrPt after structural relaxation from Alexandria via LeMat-Bulk. Energies are from PBE.

Results
Final energy = -26.4 eV for the cell shown
Total moment = 1.6 μB per formula unit
Calculated density = 15.93 g cm⁻³
Energy above the lowest structure with this stoichiometry = 49 meV/atom

Cell lengths 4.6100, 4.6100, 4.5078 Å; angles 100.31, 100.31, 34.00 degrees
Element x y z (fractional)
Ni1 0.0000 0.0000 0.0000
Ni2 0.7474 0.7474 0.2496
Ir1 0.2535 0.2535 0.7655
Pt1 0.4998 0.4998 0.4956

(2)
Here is Ni4IrPt2 after structural relaxation from Alexandria via LeMat-Bulk. Energies are from PBE.

Results
Final energy = -42.0 eV for the cell shown
Total moment = 3.2 μB per formula unit
Calculated density = 14.46 g cm⁻³
Energy above the lowest structure with this stoichiometry = 17 meV/atom

Cell lengths 6.2782, 5.1645, 4.9122 Å; angles 77.03, 53.29, 49.68 degrees
Element x y z (fractional)
Ni1 0.0000 0.0000 0.5000
Ni2 0.2500 0.2500 0.2500
Ni3 0.5000 0.5000 0.0000
Ni4 0.7500 0.7500 0.7500
Ir1 0.0000 0.0000 0.0000
Pt1 0.3478 0.3478 0.6522
Pt2 0.6522 0.6522 0.3478

no.,E_form (eV/atom)
1,0.0090
2,0.2921